1.
Entry from Alexandria via LeMat-Bulk: a relaxed structure of Na2PaF6 (PBE).

The structure in extended XYZ format:
```
18
Lattice="-2.337 2.119 -4.275 -4.578 0.345 2.674 2.718 9.825 3.385" Properties=species:S:1:pos:R:3 pbc="T T T"
Na 0.912 3.298 1.136
Na -1.186 9.443 2.028
Na -3.011 2.846 -0.244
Na 1.805 6.526 2.248
Pa 0.000 0.000 0.000
Pa -2.098 6.144 0.892
F -1.191 4.140 0.673
F -3.852 5.088 0.057
F -1.852 8.981 4.194
F -0.474 10.072 -0.080
F -3.723 2.217 1.864
F -2.345 3.308 -2.410
F -0.345 7.201 1.727
F -3.006 8.149 1.111
F -2.040 0.727 -0.472
F -4.874 1.737 -1.129
F -2.760 5.621 2.942
F -1.437 6.668 -1.159
```

Values from the calculation:
Calculated total energy in eV/atom: -5.99
SG: No. 136


2.
Entry from Alexandria via LeMat-Bulk: a relaxed structure of Ba2NaTl4Hg3 (PBE).

The structure in extended XYZ format:
```
10
Lattice="-1.007 1.447 -4.480 -1.843 -4.337 -0.987 -12.793 4.455 4.314" Properties=species:S:1:pos:R:3 pbc="T T T"
Ba -3.505 1.769 -1.228
Ba -10.713 1.241 2.808
Na -7.821 0.782 -0.576
Tl -1.425 -1.445 -2.733
Tl 0.000 0.000 0.000
Tl -8.727 3.587 0.533
Tl -5.491 -0.577 1.047
Hg -6.396 2.227 2.157
Hg -11.454 4.537 1.452
Hg -2.764 -1.527 0.128
```

Values from the calculation:
Calculated total energy in eV/atom: -1.82
SG: No. 115


- Which formula does entry 1 have?
  Na2PaF6